Entry 1:
NaSrTl4 after structural relaxation. Source: Alexandria via LeMat-Bulk, functional PBE-GGA.

```
data_NaSrTl4
_cell_length_a 5.441
_cell_length_b 16.540
_cell_length_c 8.520
_cell_angle_alpha 90.00
_cell_angle_beta 90.00
_cell_angle_gamma 90.00
_symmetry_space_group_name_H-M 'C m c m'
_symmetry_Int_Tables_number 63
_symmetry_space_group_name_Hall '-C 2c 2'
loop_
_atom_site_label
_atom_site_fract_x
_atom_site_fract_y
_atom_site_fract_z
_atom_site_occupancy
Na1 0.000 0.155 0.250 1
Sr1 0.000 0.382 0.250 1
Tl1 0.000 0.000 0.000 1
Tl2 0.000 0.225 0.574 1
Tl3 0.000 0.421 0.750 1
```

Summary:
Its energy is -2.1822 eV/atom. The total magnetization comes out at 0.000 μB per atom. The calculation puts the calculated formation energy at -0.105 eV per atom.



Entry 2:
NaSr5Tl2 after structural relaxation. Source: Alexandria via LeMat-Bulk, functional PBE-GGA.

```
data_NaSr5Tl2
_cell_length_a 9.401
_cell_length_b 9.401
_cell_length_c 15.387
_cell_angle_alpha 90.00
_cell_angle_beta 90.00
_cell_angle_gamma 90.00
_symmetry_space_group_name_H-M 'I 4/m c m'
_symmetry_Int_Tables_number 140
_symmetry_space_group_name_Hall '-I 4 2c'
loop_
_atom_site_label
_atom_site_fract_x
_atom_site_fract_y
_atom_site_fract_z
_atom_site_occupancy
Na1 0.000 0.000 0.250 1
Sr1 0.000 0.000 0.000 1
Sr2 0.157 0.343 0.137 1
Tl1 0.136 0.364 0.500 1
```

Summary:
Its energy is -2.0444 eV/atom. The total magnetization comes out at 0.000 μB per atom. The calculation puts the calculated formation energy at -0.237 eV per atom.



Entry 3:
Na2SrTl3 after structural relaxation. Source: Alexandria via LeMat-Bulk, functional PBE-GGA.

```
data_Na2SrTl3
_cell_length_a 4.012
_cell_length_b 4.012
_cell_length_c 11.298
_cell_angle_alpha 90.00
_cell_angle_beta 90.00
_cell_angle_gamma 90.00
_symmetry_space_group_name_H-M 'P 4/m m m'
_symmetry_Int_Tables_number 123
_symmetry_space_group_name_Hall '-P 4 2'
loop_
_atom_site_label
_atom_site_fract_x
_atom_site_fract_y
_atom_site_fract_z
_atom_site_occupancy
Na1 0.000 0.000 0.158 1
Sr1 0.000 0.000 0.500 1
Tl1 0.500 0.500 0.000 1
Tl2 0.500 0.500 0.310 1
```

Summary:
Its energy is -2.0997 eV/atom. The total magnetization comes out at 0.000 μB per atom. The calculation puts the calculated formation energy at -0.197 eV per atom.



Entry 4:
NaSr3Tl after structural relaxation. Source: Alexandria via LeMat-Bulk, functional PBE-GGA.

```
data_NaSr3Tl
_cell_length_a 6.374
_cell_length_b 6.374
_cell_length_c 6.374
_cell_angle_alpha 90.00
_cell_angle_beta 90.00
_cell_angle_gamma 90.00
_symmetry_space_group_name_H-M 'P m -3 m'
_symmetry_Int_Tables_number 221
_symmetry_space_group_name_Hall '-P 4 2 3'
loop_
_atom_site_label
_atom_site_fract_x
_atom_site_fract_y
_atom_site_fract_z
_atom_site_occupancy
Na1 0.000 0.000 0.000 1
Sr1 0.000 0.000 0.500 1
Tl1 0.500 0.500 0.500 1
```

Summary:
Its energy is -1.3966 eV/atom. The total magnetization comes out at 0.000 μB per atom. The calculation puts the calculated formation energy at 0.350 eV per atom.



Entry 5:
Na2Sr3Tl9 after structural relaxation. Source: Alexandria via LeMat-Bulk, functional PBE-GGA.

```
data_Na2Sr3Tl9
_cell_length_a 5.106
_cell_length_b 11.369
_cell_length_c 15.199
_cell_angle_alpha 90.00
_cell_angle_beta 90.00
_cell_angle_gamma 90.00
_symmetry_space_group_name_H-M 'I m m m'
_symmetry_Int_Tables_number 71
_symmetry_space_group_name_Hall '-I 2 2'
loop_
_atom_site_label
_atom_site_fract_x
_atom_site_fract_y
_atom_site_fract_z
_atom_site_occupancy
Na1 0.000 0.176 0.000 1
Sr1 0.000 0.000 0.212 1
Sr2 0.000 0.000 0.500 1
Tl1 0.000 0.289 0.352 1
Tl2 0.000 0.366 0.149 1
Tl3 0.000 0.500 0.500 1
```

Summary:
Its energy is -2.2973 eV/atom. The total magnetization comes out at 0.000 μB per atom. The calculation puts the calculated formation energy at -0.227 eV per atom.



Entry 6:
NaSr4Tl after structural relaxation. Source: Alexandria via LeMat-Bulk, functional PBE-GGA.

```
data_NaSr4Tl
_cell_length_a 5.9365
_cell_length_b 5.9365
_cell_length_c 29.2137
_cell_angle_alpha 90.00
_cell_angle_beta 90.00
_cell_angle_gamma 120.00
_symmetry_space_group_name_H-M 'R -3 m'
_symmetry_Int_Tables_number 166
_symmetry_space_group_name_Hall '-R 3 2"'
loop_
_atom_site_label
_atom_site_fract_x
_atom_site_fract_y
_atom_site_fract_z
_atom_site_occupancy
Na1 0.0000 0.0000 0.0000 1
Sr1 0.0000 0.0000 0.1360 1
Sr2 0.0000 0.0000 0.3863 1
Tl1 0.0000 0.0000 0.5000 1
```

Summary:
Its energy is -1.7549 eV/atom. The total magnetization comes out at 0.000 μB per atom. The calculation puts the calculated formation energy at -0.019 eV per atom.